DFT (PBE+U) results for a geometry-optimized HfNi3O structure.

Results
- Energy above the most stable polymorph in this dataset: 0.000 eV per atom

Unit cell a=4.0146 b=4.0146 c=4.0146 alpha=90.00 beta=90.00 gamma=90.00
Space group Pm-3m (No. 221)
Unique sites:
Hf1 0.0000 0.0000 0.0000 [1 per cell]
Ni1 0.0000 0.5000 0.5000 [3 per cell]
O1 0.5000 0.5000 0.5000 [1 per cell]